Compound: AcSm2Ho7
Source: Alexandria via LeMat-Bulk
Functional: PBE-GGA
Structure: optimized geometry

```
AcSm2Ho7
1.0
5.3529 -8.1029 0.0000
5.3529 8.1029 0.0000
-2.1111 0.0000 4.2654
Ac Sm Ho
1 2 7
Cartesian
0.0000 0.0000 0.0000
4.2974 5.1567 2.1327
4.2974 -5.1567 2.1327
2.1542 2.7997 1.0609
5.3529 2.7109 0.0000
2.1542 -2.7997 1.0609
4.2974 0.0000 2.1327
6.4405 2.7997 3.2045
5.3529 -2.7109 0.0000
6.4405 -2.7997 3.2045
```

Output
VASP energy: -0.3093 Ry/atom
energy of formation from the pure elements: 33.9 kJ per mole of atoms
D(E_F): 13.2 states/eV per cell
energy relative to the lowest polymorph listed for this composition: 0 meV per atom

Compound: Ac8SmHo4
Source: Alexandria via LeMat-Bulk
Functional: PBE-GGA
Structure: optimized geometry

```
Ac8SmHo4
1.0
5.8803 3.3950 4.7952
-5.8803 3.3950 4.7952
0.0000 -6.7899 4.7952
Ac Sm Ho
8 1 4
Cartesian
0.0000 0.0000 3.4734
0.0000 -3.5080 5.9511
-3.0380 1.7540 5.9511
-3.0380 -1.7540 8.4346
3.0380 1.7540 5.9511
3.0380 -1.7540 8.4346
0.0000 3.5080 8.4346
0.0000 0.0000 10.9123
0.0000 0.0000 7.1928
0.0000 0.0000 0.0000
-2.9401 -1.6975 4.7952
-2.9401 1.6975 9.5904
0.0000 3.3950 4.7952
```

Output
VASP energy: -0.2874 Ry/atom
energy of formation from the pure elements: 37.6 kJ per mole of atoms
D(E_F): 18.9 states/eV per cell

Compound: Ac2Sm7Ho3
Source: Alexandria via LeMat-Bulk
Functional: PBE-GGA
Structure: optimized geometry

```
Ac2Sm7Ho3
1.0
6.4893 0.0000 0.0000
0.0000 3.6406 0.0000
-0.0154 0.0000 17.7810
Ac Sm Ho
2 7 3
Cartesian
0.0632 0.0000 3.0836
6.4107 0.0000 14.6974
1.1435 1.8203 6.0480
1.6893 0.0000 17.7457
2.1427 0.0000 11.8053
3.2369 1.8203 8.8905
4.3312 0.0000 5.9757
4.7846 0.0000 0.0353
5.3304 1.8203 11.7330
-0.0077 0.0000 8.8905
3.2195 1.8203 14.9529
3.2544 1.8203 2.8281
```

Output
VASP energy: -0.3300 Ry/atom
energy of formation from the pure elements: 8.9 kJ per mole of atoms
D(E_F): 17.9 states/eV per cell

Compound: Ac2SmHo3
Source: Alexandria via LeMat-Bulk
Functional: PBE-GGA
Structure: optimized geometry

```
Ac2SmHo3
1.0
8.1103 -3.7820 0.0000
8.1103 3.7820 0.0000
-1.7217 0.0000 7.2707
Ac Sm Ho
4 2 6
Cartesian
2.8152 0.0260 0.6708
1.9544 -0.0260 4.3061
12.5446 0.0260 2.9646
11.6837 -0.0260 6.5999
7.6799 2.1960 1.8177
6.8191 -2.1960 5.4530
6.8191 2.1698 5.4530
5.4875 0.0103 3.2193
4.6266 -0.0103 6.8547
9.8723 0.0103 0.4160
9.0115 -0.0103 4.0514
7.6799 -2.1698 1.8177
```

Output
VASP energy: -0.3164 Ry/atom
energy of formation from the pure elements: 13.5 kJ per mole of atoms
D(E_F): 16.2 states/eV per cell